No. 1
VASP calculation (PBE) on a geometry-optimized CaTePbN2 structure.

abc: 4.480 4.480 6.230
angles: 90.00 90.00 90.00
Positions (direct):
Ca 0.000 0.000 0.000
Te 0.500 0.500 0.000
Pb 0.500 0.500 0.500
N 0.000 0.500 0.500
N 0.500 0.000 0.500

Values from the calculation:
- Theoretical density: 5.35 g/cm³
- Relative energy among the computed polymorphs: 0.0 kJ/mol of formula units
- N(E_F): 0.51 states/eV/atom
- M_tot: 2.3 μB/f.u.
- Formation energy without anion corrections: 856.6 meV/atom

***

No. 2
VASP calculation (PBE) on a geometry-optimized CaTePbN2 structure.

abc: 4.687 4.687 6.232
angles: 90.00 90.00 90.00
Positions (direct):
Ca 0.000 0.000 0.000
Te 0.000 0.000 0.500
Pb 0.500 0.500 0.500
N 0.000 0.500 0.000
N 0.500 0.000 0.000

Values from the calculation:
- Theoretical density: 4.89 g/cm³
- Relative energy among the computed polymorphs: 53.0 kJ/mol of formula units
- N(E_F): 0.45 states/eV/atom
- M_tot: 4.0 μB/f.u.
- Formation energy without anion corrections: 966.5 meV/atom

***

No. 3
VASP calculation (PBE) on a geometry-optimized Ca2YPbN structure.

abc: 4.895 4.895 4.856
angles: 90.00 90.00 90.00
Positions (direct):
Ca 0.000 0.500 0.000
Ca 0.500 0.000 0.000
Y 0.000 0.000 0.500
Pb 0.500 0.500 0.500
N 0.000 0.000 0.000

Values from the calculation:
- Theoretical density: 5.57 g/cm³
- N(E_F): 0.08 states/eV/atom
- M_tot: 0.0 μB/f.u.
- Formation energy without anion corrections: -941.0 meV/atom

***

No. 4
VASP calculation (PBE) on a geometry-optimized CaZr2PbN structure.

abc: 4.516 4.516 4.967
angles: 90.00 90.00 90.00
Positions (direct):
Ca 0.000 0.000 0.000
Zr 0.000 0.500 0.500
Zr 0.500 0.000 0.500
Pb 0.500 0.500 0.000
N 0.000 0.000 0.500

Values from the calculation:
- Theoretical density: 7.27 g/cm³
- N(E_F): 0.78 states/eV/atom
- M_tot: 0.0 μB/f.u.
- Formation energy without anion corrections: -690.5 meV/atom

***

No. 5
VASP calculation (PBE) on a geometry-optimized CaPd2N2 structure.

abc: 5.710 5.710 5.710
angles: 140.82 140.82 56.61
Positions (direct):
Ca 0.000 0.000 0.000
Pd 0.250 0.750 0.500
Pd 0.750 0.250 0.500
N 0.439 0.439 0.000
N 0.561 0.561 0.000

Values from the calculation:
- Theoretical density: 6.33 g/cm³
- Relative energy among the computed polymorphs: 0.0 kJ/mol of formula units
- N(E_F): 0.39 states/eV/atom
- M_tot: 0.0 μB/f.u.
- Formation energy without anion corrections: 97.9 meV/atom

***

No. 6
VASP calculation (PBE) on a geometry-optimized Ca4Pd2N structure.

abc: 8.165 8.165 8.165
angles: 146.23 146.23 48.50
Positions (direct):
Ca 0.000 0.500 0.500
Ca 0.165 0.165 0.000
Ca 0.500 0.000 0.500
Ca 0.835 0.835 0.000
Pd 0.363 0.363 0.000
Pd 0.637 0.637 0.000
N 0.000 0.000 0.000

Values from the calculation:
- Theoretical density: 3.84 g/cm³
- N(E_F): 0.50 states/eV/atom
- M_tot: 0.0 μB/f.u.
- Formation energy without anion corrections: -618.0 meV/atom

***

> Among the records above, which one has the highest theoretical density?

CaZr2PbN

***

> Among the records above, which one has the highest theoretical density?

CaZr2PbN

***

Copy entry 3 word for word.
VASP calculation (PBE) on a geometry-optimized Ca2YPbN structure.

abc: 4.895 4.895 4.856
angles: 90.00 90.00 90.00
Positions (direct):
Ca 0.000 0.500 0.000
Ca 0.500 0.000 0.000
Y 0.000 0.000 0.500
Pb 0.500 0.500 0.500
N 0.000 0.000 0.000

Values from the calculation:
- Theoretical density: 5.57 g/cm³
- N(E_F): 0.08 states/eV/atom
- M_tot: 0.0 μB/f.u.
- Formation energy without anion corrections: -941.0 meV/atom